A plane-wave DFT calculation with GGA-PBE was carried out for a relaxed La2Ce2As5 crystal.

Structure (POSCAR):
```
La2Ce2As5
1.0
7.4917 -3.9401 0.0000
7.4917 3.9401 0.0000
0.0000 0.0000 7.9176
La Ce As
4 4 10
Direct
0.1985 0.1985 0.0000
0.3015 0.3015 0.5000
0.6985 0.6985 0.5000
0.8015 0.8015 0.0000
0.1545 0.8455 0.6559
0.3455 0.6545 0.1559
0.6545 0.3455 0.8441
0.8455 0.1545 0.3441
0.0000 0.0000 0.0000
0.0216 0.7162 0.3494
0.2162 0.5216 0.8494
0.2838 0.9784 0.3494
0.4784 0.7838 0.8494
0.5000 0.5000 0.5000
0.5216 0.2162 0.1506
0.7162 0.0216 0.6506
0.7838 0.4784 0.1506
0.9784 0.2838 0.6506
```

Results
The final energy comes out at -6.283 eV/atom. As for the space group: Cmce. The magnetic moment comes out at 0.00 μB/cell.